The following is a GGA-PBE calculation of crystalline HoEr2Pt at its relaxed geometry, from Alexandria.

Cell and atoms, written as POSCAR:
```
HoEr2Pt
1.0
3.8744 0.0000 0.0000
1.9372 3.3553 0.0000
1.9372 1.1184 8.9660
Ho Er Pt
1 2 1
direct
0.5016 0.5016 0.4952
0.0609 0.0609 0.8173
0.2717 0.2717 0.1850
0.6658 0.6658 0.0025
```

Computed properties:
The calculation puts the density of states at the Fermi level at 4.86 states/eV/cell. For the total magnetization, the calculation gives 0.00 μB/cell. The value obtained for the formation energy from the elements is -51 kJ per mole of atoms. For the calculated total energy, the calculation gives -5.46 eV/atom.